1.
Density functional theory data (PBE-GGA) for crystalline Ce4DySb6 at its relaxed geometry.

a = 12.1900 Å, b = 12.1900 Å, c = 15.5434 Å
α = 90.00°, β = 90.00°, γ = 120.00°
Last column: nearest neighbours and their distance in Å.
Space group R-3c (No. 167, hexagonal axes)
One atom of each set of equivalent atoms:
1 Ce 0.0000 0.0000 0.2500 (multiplicity 6)  6 Sb 3.23
2 Ce 0.0000 0.3888 0.2500 (multiplicity 18)  8 Sb 3.18-3.36
3 Dy 0.0000 0.0000 0.0000 (multiplicity 6)  6 Sb 3.00
4 Sb 0.0343 0.2141 0.3868 (multiplicity 36)  1 Dy 3.00, 5 Ce 3.18-3.36

Values from the calculation:
The total energy is -5.718 eV per atom. The uncorrected formation energy comes out at -0.893 eV per atom. Its crystal system is trigonal. The density is 7.24 Mg/m³.

---

2.
Density functional theory data (PBE-GGA) for crystalline RbSr3Sb at its relaxed geometry.

a = 6.5478 Å, b = 6.5478 Å, c = 6.5478 Å
α = 90.00°, β = 90.00°, γ = 90.00°
Last column: nearest neighbours and their distance in Å.
Space group Pm-3m (No. 221)
One atom of each set of equivalent atoms:
1 Rb 0.0000 0.0000 0.0000 (multiplicity 1)  12 Sr 4.63
2 Sr 0.0000 0.5000 0.5000 (multiplicity 3)  2 Sb 3.27
3 Sb 0.5000 0.5000 0.5000 (multiplicity 1)  6 Sr 3.27

Values from the calculation:
The total energy is -2.359 eV per atom. The uncorrected formation energy comes out at -0.332 eV per atom. Its crystal system is cubic. The value obtained for the excess energy over the best structure of this formula in the dataset is 0 kJ/mol of formula units. The density is 2.78 Mg/m³.

---

3.
Density functional theory data (PBE-GGA) for crystalline PaB4Os at its relaxed geometry.

a = 7.3805 Å, b = 9.4685 Å, c = 3.6027 Å
α = 90.00°, β = 90.00°, γ = 90.00°
Last column: nearest neighbours and their distance in Å.
Space group Cmmm (No. 65)
One atom of each set of equivalent atoms:
1 Pa 0.0000 0.2004 0.0000 (multiplicity 4)  14 B 2.67-2.78, 2 Os 2.97
2 B 0.0000 0.4087 0.5000 (multiplicity 4)  3 B 1.73-1.76
3 B 0.1208 0.0000 0.5000 (multiplicity 4)  3 B 1.78-1.90
4 B 0.2225 0.3411 0.5000 (multiplicity 8)  3 B 1.76-1.90
5 Os 0.1908 0.5000 0.0000 (multiplicity 4)  10 B 2.28-2.44

Values from the calculation:
The total energy is -8.495 eV per atom. The formation energy is -3.54 eV/f.u. Its crystal system is orthorhombic. The value obtained for the excess energy over the best structure of this formula in the dataset is 0 kJ/mol of formula units. The density is 12.25 Mg/m³.

---

4.
Density functional theory data (PBE-GGA) for crystalline SrPb2Au at its relaxed geometry.

a = 4.6459 Å, b = 4.6459 Å, c = 23.2434 Å
α = 90.00°, β = 90.00°, γ = 90.00°
Last column: nearest neighbours and their distance in Å.
Space group I-42d (No. 122)
One atom of each set of equivalent atoms:
1 Sr 0.0000 0.0000 0.0000 (multiplicity 4)  4 Au 3.29, 4 Pb 3.38
2 Pb 0.2269 0.2500 0.6250 (multiplicity 8)  4 Pb 3.14-3.44, 2 Au 3.30, 2 Sr 3.38
3 Au 0.0000 0.0000 0.5000 (multiplicity 4)  4 Sr 3.29, 4 Pb 3.30

Values from the calculation:
The total energy is -3.356 eV per atom. The formation energy is -1.05 eV/f.u. Its crystal system is tetragonal. The density is 9.25 Mg/m³.

---

5.
Density functional theory data (PBE-GGA) for crystalline SrHf3Te at its relaxed geometry.

a = 5.3647 Å, b = 5.3647 Å, c = 5.3647 Å
α = 90.00°, β = 90.00°, γ = 90.00°
Last column: nearest neighbours and their distance in Å.
Space group Pm-3m (No. 221)
One atom of each set of equivalent atoms:
1 Sr 0.0000 0.0000 0.0000 (multiplicity 1)  12 Hf 3.79
2 Hf 0.0000 0.5000 0.5000 (multiplicity 3)  2 Te 2.68
3 Te 0.5000 0.5000 0.5000 (multiplicity 1)  6 Hf 2.68

Values from the calculation:
The total energy is -6.324 eV per atom. The uncorrected formation energy comes out at 0.613 eV per atom. Its crystal system is cubic. The value obtained for the excess energy over the best structure of this formula in the dataset is 0 kJ/mol of formula units. The density is 8.07 Mg/m³.

---

6.
Density functional theory data (PBE-GGA) for crystalline HgBiCl5 at its relaxed geometry.

a = 10.8399 Å, b = 10.0982 Å, c = 8.8666 Å
α = 90.00°, β = 109.53°, γ = 90.00°
Last column: nearest neighbours and their distance in Å.
Space group C2/c (No. 15)
One atom of each set of equivalent atoms:
1 Hg 0.0000 0.0000 0.0000 (multiplicity 4)  4 Cl 2.58-2.60
2 Bi 0.0000 0.4685 0.2500 (multiplicity 4)  4 Cl 2.62-2.71
3 Cl 0.0000 0.1316 0.2500 (multiplicity 4)  2 Hg 2.58
4 Cl 0.0171 0.3374 0.9519 (multiplicity 8)  1 Bi 2.62
5 Cl 0.2380 0.0742 0.6549 (multiplicity 8)  1 Hg 2.60, 1 Bi 2.71

Values from the calculation:
The total energy is -2.651 eV per atom. The uncorrected formation energy comes out at -0.734 eV per atom. Its crystal system is monoclinic. The value obtained for the excess energy over the best structure of this formula in the dataset is 30 kJ/mol of formula units. The density is 4.26 Mg/m³.

---

7.
Density functional theory data (PBE-GGA) for crystalline YAgAs2 at its relaxed geometry.

a = 7.8068 Å, b = 4.2097 Å, c = 5.7650 Å
α = 90.00°, β = 109.64°, γ = 90.00°
Last column: nearest neighbours and their distance in Å.
Space group C2/m (No. 12)
One atom of each set of equivalent atoms:
1 Y 0.0000 0.0000 0.0000 (multiplicity 2)  6 As 2.87-2.93
2 Ag 0.0000 0.5000 0.5000 (multiplicity 2)  6 As 2.70-2.88
3 As 0.2486 0.5000 0.2675 (multiplicity 4)  3 Ag 2.70-2.88, 3 Y 2.87-2.93

Values from the calculation:
The total energy is -5.093 eV per atom. The formation energy is -1.76 eV/f.u. Its crystal system is monoclinic. The density is 6.45 Mg/m³.

---

8.
Density functional theory data (PBE-GGA) for crystalline LaCePu2As4 at its relaxed geometry.

a = 7.2841 Å, b = 4.2291 Å, c = 7.3295 Å
α = 90.00°, β = 109.56°, γ = 90.00°
Last column: nearest neighbours and their distance in Å.
Space group P2/m (No. 10)
One atom of each set of equivalent atoms:
1 La 0.0000 0.0000 0.0000 (multiplicity 1)  6 As 3.05
2 Ce 0.0000 0.5000 0.5000 (multiplicity 1)  6 As 3.00
3 Pu 0.5000 0.0000 0.5000 (multiplicity 1)  6 As 2.92
4 Pu 0.5000 0.5000 0.0000 (multiplicity 1)  6 As 2.97
5 As 0.2583 0.0000 0.7474 (multiplicity 2)  3 Pu 2.92-2.97, 2 Ce 3.00, 1 La 3.05
6 As 0.2626 0.5000 0.2598 (multiplicity 2)  3 Pu 2.92-2.97, 1 Ce 3.00, 2 La 3.05

Values from the calculation:
The total energy is -8.517 eV per atom. The formation energy is -10.02 eV/f.u. Its crystal system is monoclinic. The density is 8.33 Mg/m³.

---

9.
Density functional theory data (PBE-GGA) for crystalline RbBP2Cl at its relaxed geometry.

a = 4.1164 Å, b = 4.1164 Å, c = 8.4692 Å
α = 90.00°, β = 90.00°, γ = 90.00°
Last column: nearest neighbours and their distance in Å.
Space group P4/mmm (No. 123)
One atom of each set of equivalent atoms:
1 Rb 0.0000 0.0000 0.0000 (multiplicity 1)  4 Cl 2.91
2 B 0.5000 0.5000 0.5000 (multiplicity 1)  4 P 2.06
3 P 0.0000 0.5000 0.5000 (multiplicity 2)  2 B 2.06
4 Cl 0.5000 0.5000 0.0000 (multiplicity 1)  4 Rb 2.91

Values from the calculation:
The total energy is -3.885 eV per atom. The uncorrected formation energy comes out at 0.177 eV per atom. Its crystal system is tetragonal. The value obtained for the excess energy over the best structure of this formula in the dataset is 0 kJ/mol of formula units. The density is 2.24 Mg/m³.

---

10.
Density functional theory data (PBE-GGA) for crystalline Ac3MgGa2Cu6 at its relaxed geometry.

a = 6.1089 Å, b = 6.1089 Å, c = 8.4708 Å
α = 90.00°, β = 90.00°, γ = 120.00°
Last column: nearest neighbours and their distance in Å.
Space group P-3m1 (No. 164)
One atom of each set of equivalent atoms:
1 Ac 0.0000 0.0000 0.0000 (multiplicity 1)  6 Cu 3.19, 6 Ga 3.54
2 Ac 0.3333 0.6667 0.6423 (multiplicity 2)  9 Cu 3.13-3.35, 1 Ga 3.31
3 Mg 0.0000 0.0000 0.5000 (multiplicity 1)  6 Cu 2.76
4 Ga 0.3333 0.6667 0.0334 (multiplicity 2)  3 Cu 2.58
5 Cu 0.1964 0.3928 0.2851 (multiplicity 6)  2 Cu 2.51, 1 Ga 2.58, 1 Mg 2.76

Values from the calculation:
The total energy is -3.807 eV per atom. The formation energy is -1.14 eV/f.u. Its crystal system is trigonal. The density is 7.44 Mg/m³.

---

11.
Density functional theory data (PBE-GGA) for crystalline RbBeSn2 at its relaxed geometry.

a = 5.9068 Å, b = 5.9068 Å, c = 16.1772 Å
α = 90.00°, β = 90.00°, γ = 90.00°
Last column: nearest neighbours and their distance in Å.
Space group I4_1/amd (No. 141, origin choice 2)
One atom of each set of equivalent atoms:
1 Rb 0.0000 0.2500 0.3750 (multiplicity 4)  8 Sn 3.87, 4 Be 4.18
2 Be 0.0000 0.2500 0.8750 (multiplicity 4)  4 Sn 2.50
3 Sn 0.0000 0.0000 0.0000 (multiplicity 8)  2 Be 2.50

Values from the calculation:
The total energy is -2.945 eV per atom. The formation energy is 0.92 eV/f.u. Its crystal system is tetragonal. The density is 3.91 Mg/m³.

---

12.
Density functional theory data (PBE-GGA) for crystalline ZrMo at its relaxed geometry.

a = 4.2730 Å, b = 4.2730 Å, c = 16.2869 Å
α = 90.00°, β = 90.00°, γ = 120.00°
Last column: nearest neighbours and their distance in Å.
Space group R-3m (No. 166, hexagonal axes)
One atom of each set of equivalent atoms:
1 Zr 0.0000 0.0000 0.1038 (multiplicity 6)  3 Mo 2.82
2 Mo 0.0000 0.0000 0.3128 (multiplicity 6)  3 Mo 2.56, 3 Zr 2.82

Values from the calculation:
The total energy is -9.421 eV per atom. The formation energy is 0.54 eV/f.u. Its crystal system is trigonal. The value obtained for the excess energy over the best structure of this formula in the dataset is 60 kJ/mol of formula units. The density is 7.24 Mg/m³.